Record 1
Computed, not measured: HfTi2AuO after structural relaxation at the PBE level of DFT.

Structure (POSCAR):
```
HfTi2AuO
1.0
4.1411 0.0000 0.0000
0.0000 4.1411 0.0000
0.0000 0.0000 4.4159
Hf Ti Au O
1 2 1 1
direct
0.0000 0.0000 0.0000
0.0000 0.5000 0.5000
0.5000 0.0000 0.5000
0.5000 0.5000 0.0000
0.0000 0.0000 0.5000
```

Results
Raw formation energy = -1.256 eV per atom
Crystal system = tetragonal

---

Record 2
Computed, not measured: LiGdVRu after structural relaxation at the PBE level of DFT.

Structure (POSCAR):
```
LiGdVRu
1.0
0.0000 3.2675 3.2675
3.2675 0.0000 3.2675
3.2675 3.2675 0.0000
Li Gd V Ru
1 1 1 1
direct
0.0000 0.0000 0.0000
0.7500 0.7500 0.7500
0.2500 0.2500 0.2500
0.5000 0.5000 0.5000
```

Results
Crystal system = cubic
Energy of formation = 0.10 eV/atom

---

Record 3
Computed, not measured: RePdNF2 after structural relaxation at the PBE level of DFT.

Structure (POSCAR):
```
RePdNF2
1.0
4.1495 0.0000 0.0000
0.0000 4.1495 0.0000
0.0000 0.0000 3.8318
Re Pd N F
1 1 1 2
direct
0.0000 0.0000 0.0000
0.5000 0.5000 0.5000
0.0000 0.0000 0.5000
0.0000 0.5000 0.0000
0.5000 0.0000 0.0000
```

Results
Raw formation energy = -0.206 eV per atom
Crystal system = tetragonal
Excess energy over the best structure of this formula in the dataset = 0.000 eV/atom

---

Copy entry 2 word for word.
Computed, not measured: LiGdVRu after structural relaxation at the PBE level of DFT.

Structure (POSCAR):
```
LiGdVRu
1.0
0.0000 3.2675 3.2675
3.2675 0.0000 3.2675
3.2675 3.2675 0.0000
Li Gd V Ru
1 1 1 1
direct
0.0000 0.0000 0.0000
0.7500 0.7500 0.7500
0.2500 0.2500 0.2500
0.5000 0.5000 0.5000
```

Results
Crystal system = cubic
Energy of formation = 0.10 eV/atom

---

Which formula does entry 2 have? LiGdVRu